A plane-wave DFT calculation with GGA-PBE was carried out for an optimized crystal structure of La2TmNpO8.

a b c (Å): 3.9892 7.5560 5.6162
angles (deg): 90.00 94.97 90.00
Last column: nearest neighbours and their distance in Å.
Sites, in units of the cell vectors:
La1 0.0000 0.2429 0.0000  8 O 2.33-2.56
La2 0.0000 0.7571 0.0000  8 O 2.33-2.56
Tm1 0.5000 0.0000 0.5000  6 O 2.24-2.46
Np1 0.5000 0.5000 0.5000  6 O 2.03-2.11
O1 0.0226 0.0000 0.2578  1 Tm 2.24, 2 La 2.33
O2 0.0621 0.5000 0.2871  1 Np 2.03
O3 0.4613 0.2777 0.7229  1 Np 2.11
O4 0.4613 0.7223 0.7229  1 Np 2.11
O5 0.5387 0.2777 0.2771  1 Np 2.11
O6 0.5387 0.7223 0.2771  1 Np 2.11
O7 0.9379 0.5000 0.7129  1 Np 2.03
O8 0.9774 0.0000 0.7422  1 Tm 2.24, 2 La 2.33

The calculation puts the total energy at -8.747 eV/atom. The calculation puts the formation energy without anion corrections at -3.169 eV per atom. Its symmetry is No. 10. The calculated density comes out at 7992 kg/m3.